Record 1
# TaVReTc PBE optimized geometry
data_TaVReTc
_chemical_formula_sum 'Ta4 V4 Re4 Tc4'
_cell_length_a 6.243
_cell_length_b 6.243
_cell_length_c 6.243
_cell_angle_alpha 90.00
_cell_angle_beta 90.00
_cell_angle_gamma 90.00
_symmetry_space_group_name_H-M 'F -4 3 m'
_symmetry_Int_Tables_number 216
_symmetry_space_group_name_Hall 'F -4 2 3'
loop_
_atom_site_label
_atom_site_type_symbol
_atom_site_fract_x
_atom_site_fract_y
_atom_site_fract_z
_atom_site_occupancy
Ta1 Ta 0.000 0.000 0.000 1
V1 V 0.000 0.000 0.500 1
Re1 Re 0.250 0.250 0.250 1
Tc1 Tc 0.250 0.250 0.750 1
# DFT formation energy, meV per atom: -359


Record 2
# Ce2TmO PBE optimized geometry
data_Ce2TmO
_chemical_formula_sum 'Ce6 Tm3 O3'
_cell_length_a 3.4082
_cell_length_b 3.4082
_cell_length_c 28.0411
_cell_angle_alpha 90.00
_cell_angle_beta 90.00
_cell_angle_gamma 120.00
_symmetry_space_group_name_H-M 'R -3 m'
_symmetry_Int_Tables_number 166
_symmetry_space_group_name_Hall '-R 3 2"'
loop_
_atom_site_label
_atom_site_type_symbol
_atom_site_fract_x
_atom_site_fract_y
_atom_site_fract_z
_atom_site_occupancy
Ce1 Ce 0.0000 0.0000 0.1139 1
Tm1 Tm 0.0000 0.0000 0.0000 1
O1 O 0.0000 0.0000 0.5000 1
# Formation energy from raw total energies, eV/atom: -1.12


Record 3
# Tb4Y5Sc2 PBE optimized geometry
data_Tb4Y5Sc2
_chemical_formula_sum 'Tb8 Y10 Sc4'
_cell_length_a 23.504
_cell_length_b 3.492
_cell_length_c 8.460
_cell_angle_alpha 90.00
_cell_angle_beta 95.20
_cell_angle_gamma 90.00
_symmetry_space_group_name_H-M 'C 1 2/m 1'
_symmetry_Int_Tables_number 12
_symmetry_space_group_name_Hall '-C 2y'
loop_
_atom_site_label
_atom_site_type_symbol
_atom_site_fract_x
_atom_site_fract_y
_atom_site_fract_z
_atom_site_occupancy
Tb1 Tb 0.038 0.000 0.348 1
Tb2 Tb 0.224 0.500 0.827 1
Y1 Y 0.000 0.500 0.000 1
Y2 Y 0.130 0.000 0.041 1
Y3 Y 0.182 0.000 0.475 1
Sc1 Sc 0.088 0.500 0.695 1
# DFT formation energy, meV per atom: 111


Record 4
# VInB2 PBE optimized geometry
data_VInB2
_chemical_formula_sum 'V4 In4 B8'
_cell_length_a 5.802
_cell_length_b 5.802
_cell_length_c 6.618
_cell_angle_alpha 90.00
_cell_angle_beta 90.00
_cell_angle_gamma 90.00
_symmetry_space_group_name_H-M 'I -4 2 d'
_symmetry_Int_Tables_number 122
_symmetry_space_group_name_Hall 'I -4 2bw'
loop_
_atom_site_label
_atom_site_type_symbol
_atom_site_fract_x
_atom_site_fract_y
_atom_site_fract_z
_atom_site_occupancy
V1 V 0.000 0.000 0.000 1
In1 In 0.000 0.000 0.500 1
B1 B 0.218 0.250 0.125 1
# DFT formation energy, meV per atom: 926


Record 5
# ZnCrCl2 PBE optimized geometry
data_ZnCrCl2
_chemical_formula_sum 'Zn3 Cr3 Cl6'
_cell_length_a 3.5683
_cell_length_b 3.5683
_cell_length_c 28.8652
_cell_angle_alpha 90.00
_cell_angle_beta 90.00
_cell_angle_gamma 120.00
_symmetry_space_group_name_H-M 'R -3 m'
_symmetry_Int_Tables_number 166
_symmetry_space_group_name_Hall '-R 3 2"'
loop_
_atom_site_label
_atom_site_type_symbol
_atom_site_fract_x
_atom_site_fract_y
_atom_site_fract_z
_atom_site_occupancy
Zn1 Zn 0.0000 0.0000 0.0000 1
Cr1 Cr 0.0000 0.0000 0.5000 1
Cl1 Cl 0.0000 0.0000 0.2159 1
# ΔE to the lowest computed polymorph, eV/atom: 0.053
# Formation energy from raw total energies, eV/atom: -0.43


Record 6
# TlTcB2 PBE optimized geometry
data_TlTcB2
_chemical_formula_sum 'Tl4 Tc4 B8'
_cell_length_a 5.270
_cell_length_b 5.270
_cell_length_c 10.000
_cell_angle_alpha 90.00
_cell_angle_beta 90.00
_cell_angle_gamma 90.00
_symmetry_space_group_name_H-M 'I -4 2 d'
_symmetry_Int_Tables_number 122
_symmetry_space_group_name_Hall 'I -4 2bw'
loop_
_atom_site_label
_atom_site_type_symbol
_atom_site_fract_x
_atom_site_fract_y
_atom_site_fract_z
_atom_site_occupancy
Tl1 Tl 0.000 0.000 0.000 1
Tc1 Tc 0.000 0.000 0.500 1
B1 B 0.167 0.250 0.625 1
# ΔE to the lowest computed polymorph, eV/atom: 0.000
# DFT formation energy, meV per atom: 891


Record 7
# Mg4ZnIn PBE optimized geometry
data_Mg4ZnIn
_chemical_formula_sum 'Mg16 Zn4 In4'
_cell_length_a 8.208
_cell_length_b 8.208
_cell_length_c 8.208
_cell_angle_alpha 90.00
_cell_angle_beta 90.00
_cell_angle_gamma 90.00
_symmetry_space_group_name_H-M 'F -4 3 m'
_symmetry_Int_Tables_number 216
_symmetry_space_group_name_Hall 'F -4 2 3'
loop_
_atom_site_label
_atom_site_type_symbol
_atom_site_fract_x
_atom_site_fract_y
_atom_site_fract_z
_atom_site_occupancy
Mg1 Mg 0.125 0.125 0.125 1
Zn1 Zn 0.250 0.250 0.750 1
In1 In 0.000 0.000 0.500 1
# ΔE to the lowest computed polymorph, eV/atom: 0.098
# DFT formation energy, meV per atom: 121


Record 8
# TbHoH PBE optimized geometry
data_TbHoH
_chemical_formula_sum 'Tb2 Ho2 H2'
_cell_length_a 3.344
_cell_length_b 3.344
_cell_length_c 12.046
_cell_angle_alpha 90.00
_cell_angle_beta 90.00
_cell_angle_gamma 90.00
_symmetry_space_group_name_H-M 'I 4 m m'
_symmetry_Int_Tables_number 107
_symmetry_space_group_name_Hall 'I 4 -2'
loop_
_atom_site_label
_atom_site_type_symbol
_atom_site_fract_x
_atom_site_fract_y
_atom_site_fract_z
_atom_site_occupancy
Tb1 Tb 0.000 0.000 0.000 1
Ho1 Ho 0.000 0.000 0.709 1
H1 H 0.000 0.000 0.185 1
# ΔE to the lowest computed polymorph, eV/atom: 0.123